[1]
This record from Alexandria via LeMat-Bulk describes a geometry-optimized Cs6Hg3Pd structure. The functional is PBE.

```
20
Lattice="-1.936 -1.870 4.533 -8.226 -8.848 -7.164 15.427 -6.508 3.905" Properties=species:S:1:pos:R:3 pbc="T T T"
Cs 1.069 -12.516 -3.173
Hg 1.067 -11.122 0.467
Hg 8.778 -9.683 4.354
Cs 11.916 -7.583 3.495
Hg 6.933 -15.052 -1.714
Cs -3.592 -5.818 0.665
Hg -1.669 -2.175 2.989
Cs -2.563 -10.334 -0.758
Cs -6.652 -9.643 -2.220
Cs 4.077 -9.743 2.321
Pd -3.586 -10.111 -4.169
Cs 3.732 -14.115 0.371
Hg -3.514 -7.543 -3.080
Cs 4.195 -4.710 4.448
Cs 1.188 -7.483 -1.046
Pd 8.850 -7.115 5.444
Cs 7.827 -6.893 2.033
Cs 8.856 -11.408 0.610
Hg 4.197 -6.104 0.808
Cs 1.532 -3.112 0.904
```

Size of the total moment   0.0 Bohr magnetons per cell
Crystal system   monoclinic
Formation energy   -0.1186 eV per atom

[2]
This record from Alexandria via LeMat-Bulk describes a geometry-optimized Cs2Hg2Pd structure. The functional is PBE.

```
10
Lattice="5.109 0.000 0.000 0.000 9.943 0.000 -2.555 0.000 8.024" Properties=species:S:1:pos:R:3 pbc="T T T"
Pd 2.555 6.191 1.264
Hg 0.000 3.973 7.502
Cs 0.000 8.660 3.660
Cs 0.000 1.913 1.163
Cs 2.555 6.884 6.861
Hg 2.555 0.486 5.920
Hg 0.000 5.458 2.105
Cs 2.555 3.688 4.364
Hg 2.555 8.944 0.522
Pd 0.000 1.219 6.760
```

Size of the total moment   0.0 Bohr magnetons per cell
Crystal system   orthorhombic
Distance to the lowest polymorph of the same formula   1 meV/atom
Formation energy   -0.1767 eV per atom

[3]
This record from Alexandria via LeMat-Bulk describes a geometry-optimized Cs8HgPd2 structure. The functional is PBE.

```
11
Lattice="-0.244 7.871 4.471 4.744 -3.275 8.228 7.213 4.512 -5.344" Properties=species:S:1:pos:R:3 pbc="T T T"
Cs 7.754 8.881 1.190
Cs 4.200 6.635 4.570
Hg 0.000 0.000 0.000
Cs 5.378 4.704 -1.639
Cs 3.959 0.227 6.166
Pd 1.166 5.764 3.519
Cs 7.513 2.473 2.785
Cs 1.934 2.728 1.916
Pd 10.547 3.344 3.836
Cs 9.780 6.380 5.439
Cs 6.335 4.404 8.994
```

Size of the total moment   0.0 Bohr magnetons per cell
Crystal system   monoclinic
Formation energy   -0.0136 eV per atom

[4]
This record from Alexandria via LeMat-Bulk describes a geometry-optimized Cs3Hg7Pd2 structure. The functional is PBE.

```
12
Lattice="5.462 0.000 0.000 0.000 5.399 -1.053 0.000 -0.033 14.197" Properties=species:S:1:pos:R:3 pbc="T T T"
Hg 0.000 4.293 7.643
Hg 0.000 1.073 5.502
Pd 0.000 0.531 2.721
Hg 0.000 2.144 10.990
Hg 0.000 3.222 2.154
Cs 2.731 3.706 4.633
Hg 2.731 0.520 2.667
Cs 2.731 1.660 8.511
Cs 2.731 2.699 -0.527
Pd 0.000 4.835 10.424
Hg 2.731 4.846 10.478
Hg 0.000 0.000 0.000
```

Size of the total moment   0.0 Bohr magnetons per cell
Crystal system   orthorhombic
Distance to the lowest polymorph of the same formula   6 meV/atom
Formation energy   -0.2619 eV per atom

[5]
This record from Alexandria via LeMat-Bulk describes a geometry-optimized CsHg2Pd structure. The functional is PBE.

```
8
Lattice="8.497 0.000 0.000 4.248 7.358 0.000 4.248 2.453 6.937" Properties=species:S:1:pos:R:3 pbc="T T T"
Cs 12.745 7.358 5.203
Cs 8.497 4.905 3.469
Hg 4.248 2.453 4.336
Pd 4.248 2.453 1.734
Pd 0.000 0.000 0.000
Hg 2.124 1.226 0.867
Hg 4.248 4.905 0.867
Hg 6.372 1.226 0.867
```

Size of the total moment   0.0 Bohr magnetons per cell
Crystal system   cubic
Distance to the lowest polymorph of the same formula   218 meV/atom
Formation energy   -0.0093 eV per atom

[6]
This record from Alexandria via LeMat-Bulk describes a geometry-optimized Cs3Hg2Pd structure. The functional is PBE.

```
12
Lattice="-3.003 2.745 -3.037 -0.683 -6.464 -9.411 -10.647 -7.065 -0.100" Properties=species:S:1:pos:R:3 pbc="T T T"
Cs -1.334 -1.249 -4.054
Hg -11.247 -6.129 -7.149
Hg -7.663 -4.604 -5.070
Cs -9.419 -7.226 -9.947
Cs -4.915 -3.559 -2.600
Cs -5.951 -4.508 -10.921
Cs -13.000 -9.536 -8.493
Cs -8.383 -6.277 -1.626
Hg -3.087 -4.655 -5.398
Hg -6.671 -6.181 -7.477
Pd -5.384 -3.813 -6.609
Pd -8.949 -6.971 -5.938
```

Size of the total moment   0.0 Bohr magnetons per cell
Crystal system   monoclinic
Distance to the lowest polymorph of the same formula   69 meV/atom
Formation energy   -0.1199 eV per atom